<P>
CdWI2N (PBE, optimized geometry); DOS(E_F) = 2.63 states/eV/cell; volume = 127 Å³/f.u.; SG = No. 123
1.0
5.7190 0.0000 0.0000
0.0000 5.7190 0.0000
0.0000 0.0000 3.8681
I N W Cd
2 1 1 1
direct
0.0000 0.5000 0.0000
0.5000 0.0000 0.0000
0.0000 0.0000 0.5000
0.0000 0.0000 0.0000
0.5000 0.5000 0.5000



<Q>
CdWI2N (PBE, optimized geometry); DOS(E_F) = 3.73 states/eV/cell; volume = 150 Å³/f.u.; SG = No. 123
1.0
-3.7165 2.2525 4.1448
2.5466 -3.4836 4.1766
2.7414 2.9979 0.8289
I N W Cd
2 1 1 1
direct
0.0000 0.5000 0.0000
0.5000 0.0000 0.0000
0.0000 0.0000 0.5000
0.5000 0.5000 0.5000
0.0000 0.0000 0.0000



Short version: <P>, <Q>, most stable first.



<P>
CdWIN2 (PBE, optimized geometry); DOS(E_F) = 3.72 states/eV/cell; volume = 128 Å³/f.u.; SG = No. 123
1.0
4.2355 0.0000 0.0000
0.0000 4.2355 0.0000
0.0000 0.0000 7.1259
I N W Cd
1 2 1 1
direct
0.0000 0.0000 0.5000
0.0000 0.5000 0.0000
0.5000 0.0000 0.0000
0.5000 0.5000 0.5000
0.0000 0.0000 0.0000



<Q>
CdWIN2 (PBE, optimized geometry); DOS(E_F) = 1.52 states/eV/cell; volume = 95 Å³/f.u.; SG = No. 123
1.0
4.0325 0.0000 0.0000
0.0000 4.0325 0.0000
0.0000 0.0000 5.8245
I N W Cd
1 2 1 1
direct
0.0000 0.0000 0.5000
0.0000 0.5000 0.0000
0.5000 0.0000 0.0000
0.0000 0.0000 0.0000
0.5000 0.5000 0.5000



Short version: <Q>, <P>, most stable first.